Compound: RbIn3Pt
Source: Alexandria via LeMat-Bulk
Functional: PBE
Structure: optimized geometry

## Properties
- Fermi-level density of states (states/eV/atom) = 0.449
- volume (Å³ per atom) = 30.5
- ρ (g/cm3) = 6.80
- ΔH_f (0 K) (eV/f.u.) = -1.24
- total magnetic moment (μB per atom) = 0.000
- symmetry = P2_1/c, No. 14

Cell: 8.9820 7.1976 9.9781 Å, 90.00 108.90 90.00°
Sites, in units of the cell vectors:
Rb  0.1357  0.0609  0.2095
Rb  0.1357  0.4391  0.7095
Rb  0.8643  0.5609  0.2905
Rb  0.8643  0.9391  0.7905
In  0.1542  0.5817  0.0836
In  0.1542  0.9183  0.5836
In  0.3169  0.0118  0.8912
In  0.3169  0.4882  0.3912
In  0.4755  0.1420  0.6416
In  0.4755  0.3580  0.1416
In  0.5245  0.6420  0.8584
In  0.5245  0.8580  0.3584
In  0.6831  0.5118  0.6088
In  0.6831  0.9882  0.1088
In  0.8458  0.0817  0.4164
In  0.8458  0.4183  0.9164
Pt  0.4334  0.7358  0.0860
Pt  0.4334  0.7642  0.5860
Pt  0.5666  0.2358  0.4140
Pt  0.5666  0.2642  0.9140